Entry 1:
First-principles (PBE-GGA) data for a geometry-optimized Rb5Au3O structure, as listed in the Alexandria database.

Results
The calculation puts the total energy at -2.663 eV/atom. Its uncorrected formation energy is -46.5 kJ/mol of atoms.

CIF file:
```
data_Rb5Au3O
_chemical_formula_sum 'Rb20 Au12 O4'
_space_group_name_H-M_alt 'I 4/m c m'
_space_group_IT_number 140
_space_group_name_Hall '-I 4 2c'
_cell_length_a 8.9412
_cell_length_b 8.9412
_cell_length_c 17.3144
_cell_angle_alpha 90.00
_cell_angle_beta 90.00
_cell_angle_gamma 90.00
loop_
_atom_site_label
_atom_site_type_symbol
_atom_site_fract_x
_atom_site_fract_y
_atom_site_fract_z
Rb1 Rb 0.0000 0.0000 0.0000
Rb2 Rb 0.1567 0.3433 0.1559
Au1 Au 0.0000 0.0000 0.2500
Au2 Au 0.1183 0.3817 0.5000
O1 O 0.0000 0.5000 0.2500
```

=====

Entry 2:
First-principles (PBE-GGA) data for a geometry-optimized LiTeAs2 structure, as listed in the Alexandria database.

Results
The calculation puts the total energy at -3.802 eV/atom. Its uncorrected formation energy is -20.6 kJ/mol of atoms.

CIF file:
```
data_LiTeAs2
_chemical_formula_sum 'Li2 Te2 As4'
_space_group_name_H-M_alt 'C 1 m 1'
_space_group_IT_number 8
_space_group_name_Hall 'C -2y'
_cell_length_a 6.5317
_cell_length_b 3.7727
_cell_length_c 7.6856
_cell_angle_alpha 90.00
_cell_angle_beta 106.39
_cell_angle_gamma 90.00
loop_
_atom_site_label
_atom_site_type_symbol
_atom_site_fract_x
_atom_site_fract_y
_atom_site_fract_z
Li1 Li 0.0000 0.0000 0.0000
Te1 Te 0.2511 0.0000 0.7517
As1 As 0.2558 0.5000 0.2631
As2 As 0.4847 0.0000 0.4509
```

=====

Entry 3:
First-principles (PBE-GGA) data for a geometry-optimized Pr2PtRh2 structure, as listed in the Alexandria database.

Results
The calculation puts the total energy at -6.829 eV/atom. For the formation enthalpy at 0 K, the calculation gives -0.7686 eV/atom.

CIF file:
```
data_Pr2PtRh2
_chemical_formula_sum 'Pr4 Pt2 Rh4'
_space_group_name_H-M_alt 'I m m m'
_space_group_IT_number 71
_space_group_name_Hall '-I 2 2'
_cell_length_a 4.6027
_cell_length_b 5.5838
_cell_length_c 8.4325
_cell_angle_alpha 90.00
_cell_angle_beta 90.00
_cell_angle_gamma 90.00
loop_
_atom_site_label
_atom_site_type_symbol
_atom_site_fract_x
_atom_site_fract_y
_atom_site_fract_z
Pr1 Pr 0.0000 0.0000 0.2020
Pt1 Pt 0.0000 0.5000 0.0000
Rh1 Rh 0.0000 0.2562 0.5000
```

=====

Entry 4:
First-principles (PBE-GGA) data for a geometry-optimized NaTlO2 structure, as listed in the Alexandria database.

Results
The calculation puts the total energy at -4.421 eV/atom. Its uncorrected formation energy is -98.5 kJ/mol of atoms.

CIF file:
```
data_NaTlO2
_chemical_formula_sum 'Na3 Tl3 O6'
_space_group_name_H-M_alt 'R 3 m'
_space_group_IT_number 160
_space_group_name_Hall 'R 3 -2"'
_cell_length_a 3.3814
_cell_length_b 3.3814
_cell_length_c 17.5426
_cell_angle_alpha 90.00
_cell_angle_beta 90.00
_cell_angle_gamma 120.00
loop_
_atom_site_label
_atom_site_type_symbol
_atom_site_fract_x
_atom_site_fract_y
_atom_site_fract_z
Na1 Na 0.0000 0.0000 0.0000
Tl1 Tl 0.0000 0.0000 0.1725
O1 O 0.0000 0.0000 0.5796
O2 O 0.0000 0.0000 0.7664
```